w) NaSrTmS3 | PBE | relaxed

Values from the calculation:
As for the space-group type: P2_1/m, No. 11.

Cell: 7.517 4.045 9.937 Å, 90.00 107.71 90.00°
Positions (direct):
Na 0.097 0.250 0.088
Na 0.903 0.750 0.912
Sr 0.291 0.250 0.804
Sr 0.709 0.750 0.196
Tm 0.299 0.750 0.361
Tm 0.701 0.250 0.639
S 0.054 0.250 0.336
S 0.293 0.750 0.049
S 0.449 0.750 0.638
S 0.551 0.250 0.362
S 0.707 0.250 0.951
S 0.946 0.750 0.664



x) NaSrTmS3 | PBE | relaxed

Values from the calculation:
As for the space-group type: C2/m, No. 12.

Cell: 8.705 8.705 8.659 Å, 104.43 104.43 26.36°
Positions (direct):
Na 0.004 0.004 0.203
Na 0.996 0.996 0.797
Sr 0.364 0.364 0.433
Sr 0.636 0.636 0.567
Tm 0.334 0.334 0.914
Tm 0.666 0.666 0.086
S 0.000 0.000 0.500
S 0.170 0.170 0.866
S 0.178 0.178 0.307
S 0.500 0.500 0.000
S 0.822 0.822 0.693
S 0.830 0.830 0.134



Q: Which of them is the least stable? A: w).



w) NaSrTmSe3 | PBE | relaxed

Values from the calculation:
As for the space-group type: C2/m, No. 12.

Cell: 9.099 9.099 9.052 Å, 104.45 104.45 26.25°
Positions (direct):
Na 0.004 0.004 0.204
Na 0.996 0.996 0.796
Sr 0.364 0.364 0.433
Sr 0.636 0.636 0.567
Tm 0.334 0.334 0.914
Tm 0.666 0.666 0.086
Se 0.000 0.000 0.500
Se 0.169 0.169 0.865
Se 0.179 0.179 0.310
Se 0.500 0.500 0.000
Se 0.821 0.821 0.690
Se 0.831 0.831 0.135



x) NaSrTmSe3 | PBE | relaxed

Values from the calculation:
As for the space-group type: P2_1/m, No. 11.

Cell: 7.842 4.205 10.226 Å, 90.00 107.36 90.00°
Positions (direct):
Na 0.094 0.250 0.088
Na 0.906 0.750 0.912
Sr 0.284 0.250 0.802
Sr 0.716 0.750 0.198
Tm 0.301 0.750 0.356
Tm 0.699 0.250 0.644
Se 0.053 0.250 0.342
Se 0.294 0.750 0.049
Se 0.446 0.750 0.640
Se 0.554 0.250 0.360
Se 0.706 0.250 0.951
Se 0.947 0.750 0.658



Q: Which of them is the least stable? A: x).



w) NaTbZnSe3 | PBE | relaxed

Values from the calculation:
As for the space-group type: P2_1/m, No. 11.

Cell: 8.215 4.076 9.853 Å, 90.00 104.64 90.00°
Positions (direct):
Na 0.220 0.250 0.240
Na 0.780 0.750 0.760
Tb 0.318 0.750 0.858
Tb 0.682 0.250 0.142
Zn 0.081 0.250 0.603
Zn 0.919 0.750 0.397
Se 0.069 0.250 0.848
Se 0.228 0.750 0.539
Se 0.441 0.750 0.156
Se 0.559 0.250 0.844
Se 0.772 0.250 0.461
Se 0.931 0.750 0.152



x) NaTbZnSe3 | PBE | relaxed

Values from the calculation:
As for the space-group type: Pnma, No. 62.

Cell: 10.995 4.067 13.616 Å, 90.00 90.00 90.00°
Positions (direct):
Na 0.218 0.250 0.006
Na 0.282 0.750 0.506
Na 0.718 0.250 0.494
Na 0.782 0.750 0.994
Tb 0.015 0.750 0.741
Tb 0.485 0.250 0.241
Tb 0.515 0.750 0.759
Tb 0.985 0.250 0.259
Zn 0.236 0.750 0.218
Zn 0.264 0.250 0.718
Zn 0.736 0.750 0.282
Zn 0.764 0.250 0.782
Se 0.050 0.750 0.118
Se 0.090 0.250 0.606
Se 0.238 0.250 0.330
Se 0.262 0.750 0.830
Se 0.410 0.750 0.106
Se 0.450 0.250 0.618
Se 0.550 0.750 0.382
Se 0.590 0.250 0.894
Se 0.738 0.250 0.170
Se 0.762 0.750 0.670
Se 0.910 0.750 0.394
Se 0.950 0.250 0.882



Q: Which of them is the least stable? A: w).



w) NaTbZnSe3 | PBE | relaxed

Values from the calculation:
As for the space-group type: Cmcm, No. 63.

Cell: 7.140 7.140 10.985 Å, 90.00 90.00 146.96°
Positions (direct):
Na 0.243 0.757 0.750
Na 0.757 0.243 0.250
Tb 0.000 0.000 0.000
Tb 0.000 0.000 0.500
Zn 0.468 0.532 0.250
Zn 0.532 0.468 0.750
Se 0.080 0.920 0.250
Se 0.363 0.637 0.070
Se 0.363 0.637 0.430
Se 0.637 0.363 0.570
Se 0.637 0.363 0.930
Se 0.920 0.080 0.750



x) NaTbZnSe3 | PBE | relaxed

Values from the calculation:
As for the space-group type: C2/m, No. 12.

Cell: 9.730 9.730 8.149 Å, 103.13 103.13 24.13°
Positions (direct):
Na 0.122 0.122 0.073
Na 0.878 0.878 0.927
Tb 0.174 0.174 0.585
Tb 0.826 0.826 0.415
Zn 0.465 0.465 0.271
Zn 0.535 0.535 0.729
Se 0.000 0.000 0.500
Se 0.326 0.326 0.656
Se 0.334 0.334 0.174
Se 0.500 0.500 0.000
Se 0.666 0.666 0.826
Se 0.674 0.674 0.344



Q: Which of them is the least stable? A: x).